(1)
{
  "formula": "CsHg2O2",
  "functional": "PBE",
  "state": "optimized geometry",
  "cell": [[3.655, -5.224, 0.000], [3.655, 5.224, 0.000], [-3.650, 0.000, 5.964]],
  "species": ["Cs", "Cs", "Hg", "Hg", "Hg", "Hg", "O", "O", "O", "O"],
  "frac_coords": [[0.125, 0.875, 0.750], [0.875, 0.125, 0.250], [0.235, 0.765, 0.250], [0.484, 0.516, 0.750], [0.516, 0.484, 0.250], [0.765, 0.235, 0.750], [0.194, 0.444, 0.890], [0.444, 0.194, 0.390], [0.556, 0.806, 0.610], [0.806, 0.556, 0.110]],
  "density_g_cm3": 8.25,
  "energy_ev_per_atom": -2.73,
  "volume_a3_per_cell": 227.8,
  "raw_formation_energy_ev_per_atom": -0.451
}

***

(2)
{
  "formula": "Cs3HgO3",
  "functional": "PBE",
  "state": "optimized geometry",
  "cell": [[4.460, -7.711, 0.000], [4.460, 7.711, 0.000], [0.000, 0.000, 6.339]],
  "species": ["Cs", "Cs", "Cs", "Cs", "Cs", "Cs", "Hg", "Hg", "O", "O", "O", "O", "O", "O"],
  "frac_coords": [[0.175, 0.825, 0.750], [0.176, 0.352, 0.750], [0.352, 0.176, 0.250], [0.648, 0.824, 0.750], [0.824, 0.648, 0.250], [0.825, 0.175, 0.250], [0.333, 0.667, 0.250], [0.667, 0.333, 0.750], [0.194, 0.806, 0.250], [0.195, 0.389, 0.250], [0.389, 0.195, 0.750], [0.611, 0.805, 0.250], [0.805, 0.611, 0.750], [0.806, 0.194, 0.750]],
  "density_g_cm3": 4.93,
  "energy_ev_per_atom": -3.33,
  "volume_a3_per_cell": 436.0,
  "raw_formation_energy_ev_per_atom": -0.800
}

***

(3)
{
  "formula": "Cs7Hg2O",
  "functional": "PBE",
  "state": "optimized geometry",
  "cell": [[9.741, -6.433, 0.000], [9.741, 6.433, 0.000], [-9.499, 0.000, 10.618]],
  "species": ["Cs", "Cs", "Cs", "Cs", "Cs", "Cs", "Cs", "Cs", "Cs", "Cs", "Cs", "Cs", "Cs", "Cs", "Hg", "Hg", "Hg", "Hg", "O", "O"],
  "frac_coords": [[0.061, 0.217, 0.026], [0.104, 0.683, 0.264], [0.129, 0.871, 0.750], [0.217, 0.061, 0.526], [0.317, 0.437, 0.514], [0.317, 0.896, 0.236], [0.437, 0.317, 0.014], [0.563, 0.683, 0.986], [0.683, 0.104, 0.764], [0.683, 0.563, 0.486], [0.783, 0.939, 0.474], [0.871, 0.129, 0.250], [0.896, 0.317, 0.736], [0.939, 0.783, 0.974], [0.180, 0.507, 0.777], [0.493, 0.820, 0.723], [0.507, 0.180, 0.277], [0.820, 0.493, 0.223], [0.086, 0.914, 0.250], [0.914, 0.086, 0.750]],
  "density_g_cm3": 3.36,
  "energy_ev_per_atom": -1.52,
  "volume_a3_per_cell": 1330.7,
  "raw_formation_energy_ev_per_atom": -0.369
}

***

(4)
{
  "formula": "Cs4Hg2O",
  "functional": "PBE",
  "state": "optimized geometry",
  "cell": [[5.987, 0.000, 0.000], [0.000, 5.987, 0.000], [0.000, 0.000, 20.624]],
  "species": ["Cs", "Cs", "Cs", "Cs", "Cs", "Cs", "Cs", "Cs", "Hg", "Hg", "Hg", "Hg", "O", "O"],
  "frac_coords": [[0.000, 0.000, 0.191], [0.000, 0.000, 0.809], [0.000, 0.500, 0.000], [0.000, 0.500, 0.500], [0.500, 0.000, 0.000], [0.500, 0.000, 0.500], [0.500, 0.500, 0.309], [0.500, 0.500, 0.691], [0.000, 0.000, 0.380], [0.000, 0.000, 0.620], [0.500, 0.500, 0.120], [0.500, 0.500, 0.880], [0.000, 0.000, 0.500], [0.500, 0.500, 0.000]],
  "density_g_cm3": 4.26,
  "e_above_lowest_polymorph_mev_per_atom": 96,
  "energy_ev_per_atom": -1.71,
  "volume_a3_per_cell": 739.3,
  "raw_formation_energy_ev_per_atom": -0.426
}

***

(5)
{
  "formula": "Cs8Hg6O",
  "functional": "PBE",
  "state": "optimized geometry",
  "cell": [[5.854, 3.380, 6.822], [-5.854, 3.380, 6.822], [0.000, -6.759, 6.822]],
  "species": ["Cs", "Cs", "Cs", "Cs", "Cs", "Cs", "Cs", "Cs", "Hg", "Hg", "Hg", "Hg", "Hg", "Hg", "O"],
  "frac_coords": [[0.118, 0.118, 0.118], [0.208, 0.423, 0.619], [0.381, 0.792, 0.577], [0.423, 0.619, 0.208], [0.577, 0.381, 0.792], [0.619, 0.208, 0.423], [0.792, 0.577, 0.381], [0.882, 0.882, 0.882], [0.025, 0.144, 0.524], [0.144, 0.524, 0.025], [0.476, 0.975, 0.856], [0.524, 0.025, 0.144], [0.856, 0.476, 0.975], [0.975, 0.856, 0.476], [0.500, 0.500, 0.500]],
  "density_g_cm3": 4.68,
  "energy_ev_per_atom": -1.26,
  "volume_a3_per_cell": 809.7,
  "raw_formation_energy_ev_per_atom": -0.350
}

***

(6)
{
  "formula": "CsHg3O",
  "functional": "PBE",
  "state": "optimized geometry",
  "cell": [[5.493, 0.000, 0.000], [0.000, 5.493, 0.000], [0.000, 0.000, 5.493]],
  "species": ["Cs", "Hg", "Hg", "Hg", "O"],
  "frac_coords": [[0.000, 0.000, 0.000], [0.000, 0.500, 0.500], [0.500, 0.000, 0.500], [0.500, 0.500, 0.000], [0.500, 0.500, 0.500]],
  "density_g_cm3": 7.52,
  "energy_ev_per_atom": -1.37,
  "volume_a3_per_cell": 165.7,
  "raw_formation_energy_ev_per_atom": -0.027
}

***

(7)
{
  "formula": "CsHg3O3",
  "functional": "PBE",
  "state": "optimized geometry",
  "cell": [[4.493, 0.000, 0.000], [-0.008, 10.275, 0.000], [-2.243, -3.874, 9.391]],
  "species": ["Cs", "Cs", "Hg", "Hg", "Hg", "Hg", "Hg", "Hg", "O", "O", "O", "O", "O", "O"],
  "frac_coords": [[0.067, 0.330, 0.136], [0.933, 0.670, 0.864], [0.240, 0.719, 0.478], [0.396, 0.297, 0.795], [0.409, 0.966, 0.817], [0.591, 0.034, 0.183], [0.604, 0.703, 0.205], [0.760, 0.281, 0.522], [0.133, 0.673, 0.264], [0.347, 0.756, 0.690], [0.474, 0.168, 0.950], [0.526, 0.832, 0.050], [0.653, 0.244, 0.310], [0.867, 0.327, 0.736]],
  "density_g_cm3": 6.00,
  "e_above_lowest_polymorph_mev_per_atom": 0,
  "energy_ev_per_atom": -2.86,
  "volume_a3_per_cell": 433.5,
  "raw_formation_energy_ev_per_atom": -0.484
}

***

(8)
{
  "formula": "Cs3HgOs2O8",
  "functional": "PBE",
  "state": "optimized geometry",
  "cell": [[6.589, 0.000, 0.000], [-3.295, 5.706, 0.000], [0.000, 0.000, 9.855]],
  "species": ["Cs", "Cs", "Cs", "Hg", "Os", "Os", "O", "O", "O", "O", "O", "O", "O", "O"],
  "frac_coords": [[0.000, 0.000, 0.000], [0.333, 0.667, 0.693], [0.667, 0.333, 0.307], [0.000, 0.000, 0.500], [0.333, 0.667, 0.172], [0.667, 0.333, 0.828], [0.186, 0.373, 0.236], [0.186, 0.814, 0.236], [0.333, 0.667, 0.991], [0.373, 0.186, 0.764], [0.627, 0.814, 0.236], [0.667, 0.333, 0.009], [0.814, 0.186, 0.764], [0.814, 0.627, 0.764]],
  "density_g_cm3": 4.96,
  "energy_ev_per_atom": -5.86,
  "volume_a3_per_cell": 370.6,
  "raw_formation_energy_ev_per_atom": -1.219
}

***

(9)
{
  "formula": "Cs2HgOsO",
  "functional": "PBE",
  "state": "optimized geometry",
  "cell": [[7.056, 0.000, 0.000], [0.000, 7.056, 0.000], [0.000, 0.000, 4.312]],
  "species": ["Cs", "Cs", "Hg", "Os", "O"],
  "frac_coords": [[0.000, 0.500, 0.000], [0.500, 0.000, 0.000], [0.000, 0.000, 0.000], [0.500, 0.500, 0.500], [0.000, 0.000, 0.500]],
  "density_g_cm3": 5.20,
  "energy_ev_per_atom": -2.72,
  "volume_a3_per_cell": 214.7,
  "raw_formation_energy_ev_per_atom": 0.923
}

***

(10)
{
  "formula": "Cs2Hg3OsO6",
  "functional": "PBE",
  "state": "optimized geometry",
  "cell": [[3.348, -6.517, 0.000], [3.348, 6.517, 0.000], [-2.075, 0.000, 5.809]],
  "species": ["Cs", "Cs", "Hg", "Hg", "Hg", "Os", "O", "O", "O", "O", "O", "O"],
  "frac_coords": [[0.175, 0.825, 0.000], [0.825, 0.175, 0.000], [0.000, 0.000, 0.500], [0.380, 0.620, 0.500], [0.620, 0.380, 0.500], [0.500, 0.500, 0.000], [0.233, 0.440, 0.793], [0.305, 0.305, 0.165], [0.440, 0.233, 0.793], [0.560, 0.767, 0.207], [0.695, 0.695, 0.835], [0.767, 0.560, 0.207]],
  "density_g_cm3": 7.56,
  "energy_ev_per_atom": -4.42,
  "volume_a3_per_cell": 253.5,
  "raw_formation_energy_ev_per_atom": -0.783
}

***

(11)
{
  "formula": "Cs2Hg2OsO4",
  "functional": "PBE",
  "state": "optimized geometry",
  "cell": [[-3.584, 3.584, 4.797], [3.584, -3.584, 4.797], [3.584, 3.584, -4.797]],
  "species": ["Cs", "Cs", "Hg", "Hg", "Os", "O", "O", "O", "O"],
  "frac_coords": [[0.250, 0.750, 0.500], [0.750, 0.250, 0.500], [0.154, 0.154, 0.000], [0.846, 0.846, 0.000], [0.500, 0.500, 0.000], [0.321, 0.321, 0.641], [0.321, 0.679, 0.000], [0.679, 0.321, 0.000], [0.679, 0.679, 0.359]],
  "density_g_cm3": 6.21,
  "energy_ev_per_atom": -4.60,
  "volume_a3_per_cell": 246.5,
  "raw_formation_energy_ev_per_atom": -0.894
}

***

(12)
{
  "formula": "Cs2HgOsO6",
  "functional": "PBE",
  "state": "optimized geometry",
  "cell": [[6.542, 0.000, 0.000], [-3.271, 5.666, 0.000], [0.000, 0.000, 6.033]],
  "species": ["Cs", "Cs", "Hg", "Os", "O", "O", "O", "O", "O", "O"],
  "frac_coords": [[0.333, 0.667, 0.317], [0.667, 0.333, 0.683], [0.000, 0.000, 0.000], [0.000, 0.000, 0.500], [0.134, 0.269, 0.685], [0.134, 0.866, 0.685], [0.269, 0.134, 0.315], [0.731, 0.866, 0.685], [0.866, 0.134, 0.315], [0.866, 0.731, 0.315]],
  "density_g_cm3": 5.59,
  "energy_ev_per_atom": -5.24,
  "volume_a3_per_cell": 223.6,
  "raw_formation_energy_ev_per_atom": -0.945
}